[1]
## PmEu2Pt (PBE-GGA)

Data for crystalline PmEu2Pt at its relaxed geometry.

M_tot = 3.66 μB per atom
Total DFT energy (no corrections) = -0.5940 Ry/atom
ΔH_f (0 K) = -0.247 eV per atom
Calculated density = 7693 kg/m3

Unit cell a=11.008 b=11.008 c=11.008 alpha=20.19 beta=20.19 gamma=20.19
Fractional positions:
Pm  0.000  0.000  0.000
Eu  0.110  0.110  0.110
Eu  0.890  0.890  0.890
Pt  0.500  0.500  0.500

[2]
## YMgCd (PBE-GGA)

Data for crystalline YMgCd at its relaxed geometry.

M_tot = 0.06 μB per atom
Total DFT energy (no corrections) = -0.2329 Ry/atom
ΔH_f (0 K) = -0.178 eV per atom
Calculated density = 4961 kg/m3

Unit cell a=6.695 b=6.695 c=6.695 alpha=149.85 beta=149.85 gamma=43.17
Fractional positions:
Y  0.000  0.000  0.000
Mg  0.686  0.686  0.000
Cd  0.331  0.331  0.000

[3]
## Cs8Ag6O (PBE-GGA)

Data for crystalline Cs8Ag6O at its relaxed geometry.

M_tot = 0.00 μB per atom
Total DFT energy (no corrections) = -0.1521 Ry/atom
Calculated density = 3823 kg/m3

Unit cell a=9.379 b=9.379 c=9.379 alpha=74.62 beta=74.62 gamma=74.62
Fractional positions:
Cs  0.131  0.131  0.131
Cs  0.206  0.632  0.411
Cs  0.368  0.589  0.794
Cs  0.411  0.206  0.632
Cs  0.589  0.794  0.368
Cs  0.632  0.411  0.206
Cs  0.794  0.368  0.589
Cs  0.869  0.869  0.869
Ag  0.003  0.465  0.853
Ag  0.147  0.997  0.535
Ag  0.465  0.853  0.003
Ag  0.535  0.147  0.997
Ag  0.853  0.003  0.465
Ag  0.997  0.535  0.147
O  0.500  0.500  0.500

[4]
## MgNb2SbRu (PBE-GGA)

Data for crystalline MgNb2SbRu at its relaxed geometry.

M_tot = 0.00 μB per atom
Total DFT energy (no corrections) = -0.3920 Ry/atom
Calculated density = 5824 kg/m3

Unit cell a=5.050 b=5.050 c=4.841 alpha=90.00 beta=90.00 gamma=90.00
Fractional positions:
Mg  0.000  0.000  0.000
Nb  0.000  0.500  0.500
Nb  0.500  0.000  0.500
Sb  0.000  0.000  0.500
Ru  0.500  0.500  0.000

> What is the formula in the first record?

PmEu2Pt